## BaFe3F (PBE+U)

Data for BaFe3F after structural relaxation.

POSCAR file:
```
BaFe3F
1.0
5.0504 0.0000 0.0000
0.0000 5.0504 0.0000
0.0000 0.0000 5.0504
Fe Ba F
3 1 1
Cartesian
0.0000 2.5252 0.0000
0.0000 0.0000 2.5252
2.5252 0.0000 0.0000
2.5252 2.5252 2.5252
0.0000 0.0000 0.0000
```

Calculated values
Size of the total moment, μB per formula unit: 11.9
Energy above the most stable polymorph in this dataset, eV per formula unit: 0.00